1.
# BaReAg2 (PBE, relaxed)
# Fermi-level density of states, states/eV/f.u.: 0.934
# Total energy, eV per cell: -63.01
# Energy of formation from the pure elements, meV/atom: 1080.1
# Calculated volume, Å³ per atom: 24.0
data_BaReAg2
_space_group_name_H-M_alt 'F -4 3 m'
_space_group_IT_number 216
_space_group_name_Hall 'F -4 2 3'
_cell_length_a 7.273
_cell_length_b 7.273
_cell_length_c 7.273
_cell_angle_alpha 90.00
_cell_angle_beta 90.00
_cell_angle_gamma 90.00
loop_
_atom_site_label
_atom_site_type_symbol
_atom_site_fract_x
_atom_site_fract_y
_atom_site_fract_z
Ba1 Ba 0.000 0.000 0.000
Re1 Re 0.250 0.250 0.250
Ag1 Ag 0.000 0.000 0.500
Ag2 Ag 0.250 0.250 0.750


2.
# Nb5Os (PBE, relaxed)
# Fermi-level density of states, states/eV/f.u.: 4.131
# Total energy, eV per cell: -125.32
# Energy of formation from the pure elements, meV/atom: -180.1
# Calculated volume, Å³ per atom: 17.4
data_Nb5Os
_space_group_name_H-M_alt 'C m m m'
_space_group_IT_number 65
_space_group_name_Hall '-C 2 2'
_cell_length_a 4.630
_cell_length_b 13.869
_cell_length_c 3.251
_cell_angle_alpha 90.00
_cell_angle_beta 90.00
_cell_angle_gamma 90.00
loop_
_atom_site_label
_atom_site_type_symbol
_atom_site_fract_x
_atom_site_fract_y
_atom_site_fract_z
Nb1 Nb 0.000 0.000 0.000
Nb2 Nb 0.000 0.165 0.500
Nb3 Nb 0.000 0.337 0.000
Os1 Os 0.000 0.500 0.500


3.
# Sc5Ni (PBE, relaxed)
# Fermi-level density of states, states/eV/f.u.: 8.536
# Total energy, eV per cell: -76.51
# Energy of formation from the pure elements, meV/atom: -135.8
# Calculated volume, Å³ per atom: 21.7
data_Sc5Ni
_space_group_name_H-M_alt 'C 1 2/m 1'
_space_group_IT_number 12
_cell_length_a 11.083
_cell_length_b 3.325
_cell_length_c 7.600
_cell_angle_alpha 90.00
_cell_angle_beta 111.64
_cell_angle_gamma 90.00
loop_
_space_group_symop_operation_xyz
'x,y,z'
'-x,-y,-z'
'-x,y,-z'
'x,-y,z'
'x+1/2,y+1/2,z'
'-x+1/2,-y+1/2,-z'
'-x+1/2,y+1/2,-z'
'x+1/2,-y+1/2,z'
loop_
_atom_site_label
_atom_site_type_symbol
_atom_site_fract_x
_atom_site_fract_y
_atom_site_fract_z
Sc1 Sc 0.000 0.000 0.000
Sc2 Sc 0.134 0.500 0.369
Sc3 Sc 0.168 0.500 0.794
Ni1 Ni 0.000 0.000 0.500


4.
# YErMnIr (PBE, relaxed)
# Fermi-level density of states, states/eV/f.u.: 4.706
# Total energy, eV per cell: -121.27
# Energy of formation from the pure elements, meV/atom: -315.1
# Calculated volume, Å³ per atom: 20.8
data_YErMnIr
_space_group_name_H-M_alt 'F -4 3 m'
_space_group_IT_number 216
_space_group_name_Hall 'F -4 2 3'
_cell_length_a 6.929
_cell_length_b 6.929
_cell_length_c 6.929
_cell_angle_alpha 90.00
_cell_angle_beta 90.00
_cell_angle_gamma 90.00
loop_
_atom_site_label
_atom_site_type_symbol
_atom_site_fract_x
_atom_site_fract_y
_atom_site_fract_z
Y1 Y 0.000 0.000 0.000
Er1 Er 0.000 0.000 0.500
Mn1 Mn 0.250 0.250 0.750
Ir1 Ir 0.250 0.250 0.250


5.
# Be4Os (PBE, relaxed)
# Fermi-level density of states, states/eV/f.u.: 1.269
# Total energy, eV per cell: -47.30
# Energy of formation from the pure elements, meV/atom: 496.5
# Calculated volume, Å³ per atom: 13.6
data_Be4Os
_space_group_name_H-M_alt 'I m -3 m'
_space_group_IT_number 229
_space_group_name_Hall '-I 4 2 3'
_cell_length_a 5.139
_cell_length_b 5.139
_cell_length_c 5.139
_cell_angle_alpha 90.00
_cell_angle_beta 90.00
_cell_angle_gamma 90.00
loop_
_atom_site_label
_atom_site_type_symbol
_atom_site_fract_x
_atom_site_fract_y
_atom_site_fract_z
Be1 Be 0.250 0.250 0.250
Os1 Os 0.000 0.000 0.000


6.
# PmAlGeO (PBE, relaxed)
# Formation energy (no corrections), meV per atom: -1638
# Fermi-level density of states, states/eV/f.u.: 0.824
# Total energy, eV per cell: -49.24
# Calculated volume, Å³ per atom: 19.0
data_PmAlGeO
_space_group_name_H-M_alt 'P 4/n m m'
_space_group_IT_number 129
_cell_length_a 4.062
_cell_length_b 4.062
_cell_length_c 9.199
_cell_angle_alpha 90.00
_cell_angle_beta 90.00
_cell_angle_gamma 90.00
loop_
_space_group_symop_operation_xyz
'x,y,z'
'-x,-y,-z'
'-y+1/2,x,z'
'y+1/2,-x,-z'
'-x+1/2,-y+1/2,z'
'x+1/2,y+1/2,-z'
'y,-x+1/2,z'
'-y,x+1/2,-z'
'x+1/2,-y,-z'
'-x+1/2,y,z'
'-y,-x,-z'
'y,x,z'
'-x,y+1/2,-z'
'x,-y+1/2,z'
'y+1/2,x+1/2,-z'
'-y+1/2,-x+1/2,z'
loop_
_atom_site_label
_atom_site_type_symbol
_atom_site_fract_x
_atom_site_fract_y
_atom_site_fract_z
Pm1 Pm 0.250 0.250 0.125
Al1 Al 0.250 0.750 0.500
Ge1 Ge 0.250 0.250 0.676
O1 O 0.250 0.750 0.000


7.
# KZr2Pd (PBE, relaxed)
# Fermi-level density of states, states/eV/f.u.: 2.321
# Total energy, eV per cell: -47.38
# Energy of formation from the pure elements, meV/atom: -75.6
# Calculated volume, Å³ per atom: 25.8
data_KZr2Pd
_space_group_name_H-M_alt 'P -1'
_space_group_IT_number 2
_cell_length_a 3.247
_cell_length_b 6.238
_cell_length_c 10.782
_cell_angle_alpha 80.31
_cell_angle_beta 81.37
_cell_angle_gamma 74.97
loop_
_space_group_symop_operation_xyz
'x,y,z'
'-x,-y,-z'
loop_
_atom_site_label
_atom_site_type_symbol
_atom_site_fract_x
_atom_site_fract_y
_atom_site_fract_z
K1 K 0.094 0.232 0.077
Zr1 Zr 0.135 0.633 0.597
Zr2 Zr 0.388 0.100 0.624
Pd1 Pd 0.308 0.652 0.232


8.
# AcCeBiSb (PBE, relaxed)
# Formation energy (no corrections), meV per atom: -773
# Fermi-level density of states, states/eV/f.u.: 7.422
# Total energy, eV per cell: -84.55
# Calculated volume, Å³ per atom: 32.6
data_AcCeBiSb
_space_group_name_H-M_alt 'F -4 3 m'
_space_group_IT_number 216
_space_group_name_Hall 'F -4 2 3'
_cell_length_a 8.054
_cell_length_b 8.054
_cell_length_c 8.054
_cell_angle_alpha 90.00
_cell_angle_beta 90.00
_cell_angle_gamma 90.00
loop_
_atom_site_label
_atom_site_type_symbol
_atom_site_fract_x
_atom_site_fract_y
_atom_site_fract_z
Ac1 Ac 0.000 0.000 0.000
Ce1 Ce 0.000 0.000 0.500
Bi1 Bi 0.250 0.250 0.750
Sb1 Sb 0.250 0.250 0.250


9.
# AlSi2Ni (PBE, relaxed)
# Formation energy (no corrections), meV per atom: -77
# Fermi-level density of states, states/eV/f.u.: 1.496
# Total energy, eV per cell: -41.35
# Calculated volume, Å³ per atom: 14.2
data_AlSi2Ni
_space_group_name_H-M_alt 'I m m m'
_space_group_IT_number 71
_space_group_name_Hall '-I 2 2'
_cell_length_a 2.618
_cell_length_b 4.142
_cell_length_c 10.464
_cell_angle_alpha 90.00
_cell_angle_beta 90.00
_cell_angle_gamma 90.00
loop_
_atom_site_label
_atom_site_type_symbol
_atom_site_fract_x
_atom_site_fract_y
_atom_site_fract_z
Al1 Al 0.000 0.000 0.000
Si1 Si 0.000 0.500 0.198
Ni1 Ni 0.000 0.000 0.500


10.
# Zr3CdHg (PBE, relaxed)
# Fermi-level density of states, states/eV/f.u.: 4.904
# Total energy, eV per cell: -156.62
# Energy of formation from the pure elements, meV/atom: 151.5
# Calculated volume, Å³ per atom: 23.3
data_Zr3CdHg
_space_group_name_H-M_alt 'R -3'
_space_group_IT_number 148
_space_group_name_Hall '-R 3'
_cell_length_a 8.4285
_cell_length_b 8.4285
_cell_length_c 11.3393
_cell_angle_alpha 90.00
_cell_angle_beta 90.00
_cell_angle_gamma 120.00
loop_
_atom_site_label
_atom_site_type_symbol
_atom_site_fract_x
_atom_site_fract_y
_atom_site_fract_z
Zr1 Zr 0.0017 0.3146 0.2508
Cd1 Cd 0.0000 0.0000 0.1188
Hg1 Hg 0.0000 0.0000 0.3778


11.
# FeNi7Sn2Ge2 (PBE, relaxed)
# Fermi-level density of states, states/eV/f.u.: 8.125
# Total energy, eV per cell: -133.49
# Energy of formation from the pure elements, meV/atom: -47.8
# Calculated volume, Å³ per atom: 14.9
data_FeNi7Sn2Ge2
_space_group_name_H-M_alt 'C 1 2/m 1'
_space_group_IT_number 12
_cell_length_a 5.107
_cell_length_b 5.124
_cell_length_c 13.695
_cell_angle_alpha 90.00
_cell_angle_beta 95.50
_cell_angle_gamma 90.00
loop_
_space_group_symop_operation_xyz
'x,y,z'
'-x,-y,-z'
'-x,y,-z'
'x,-y,z'
'x+1/2,y+1/2,z'
'-x+1/2,-y+1/2,-z'
'-x+1/2,y+1/2,-z'
'x+1/2,-y+1/2,z'
loop_
_atom_site_label
_atom_site_type_symbol
_atom_site_fract_x
_atom_site_fract_y
_atom_site_fract_z
Fe1 Fe 0.000 0.000 0.000
Ni1 Ni 0.000 0.500 0.000
Ni2 Ni 0.118 0.500 0.417
Ni3 Ni 0.217 0.250 0.873
Sn1 Sn 0.120 0.000 0.396
Ge1 Ge 0.063 0.500 0.242


12.
# HoTmCd (PBE, relaxed)
# Fermi-level density of states, states/eV/f.u.: 2.455
# Total energy, eV per cell: -20.32
# Energy of formation from the pure elements, meV/atom: -64.8
# Calculated volume, Å³ per atom: 28.7
data_HoTmCd
_space_group_name_H-M_alt 'P 4/n m m'
_space_group_IT_number 129
_cell_length_a 4.730
_cell_length_b 4.730
_cell_length_c 7.691
_cell_angle_alpha 90.00
_cell_angle_beta 90.00
_cell_angle_gamma 90.00
loop_
_space_group_symop_operation_xyz
'x,y,z'
'-x,-y,-z'
'-y+1/2,x,z'
'y+1/2,-x,-z'
'-x+1/2,-y+1/2,z'
'x+1/2,y+1/2,-z'
'y,-x+1/2,z'
'-y,x+1/2,-z'
'x+1/2,-y,-z'
'-x+1/2,y,z'
'-y,-x,-z'
'y,x,z'
'-x,y+1/2,-z'
'x,-y+1/2,z'
'y+1/2,x+1/2,-z'
'-y+1/2,-x+1/2,z'
loop_
_atom_site_label
_atom_site_type_symbol
_atom_site_fract_x
_atom_site_fract_y
_atom_site_fract_z
Ho1 Ho 0.250 0.750 0.000
Tm1 Tm 0.250 0.250 0.353
Cd1 Cd 0.250 0.250 0.737